Record 1
A relaxed HfTiCd crystal. Source: Alexandria via LeMat-Bulk, functional PBE-GGA.

Unit cell a=10.169 b=3.014 c=8.297 alpha=90.00 beta=95.82 gamma=90.00
Positions (direct):
Hf: 0.127 0.000 0.420
Hf: 0.373 0.500 0.580
Hf: 0.627 0.500 0.420
Hf: 0.873 0.000 0.580
Ti: 0.117 0.500 0.720
Ti: 0.383 0.000 0.280
Ti: 0.617 0.000 0.720
Ti: 0.883 0.500 0.280
Cd: 0.137 0.500 0.089
Cd: 0.363 0.000 0.911
Cd: 0.637 0.000 0.089
Cd: 0.863 0.500 0.911

Properties
symmetry: No. 12
polymorph energy (0 for the lowest one): 130 meV per atom
total magnetization: 0.000 μB per formula unit
energy: -18.4 eV/f.u.


Record 2
A relaxed HfTiCd crystal. Source: Alexandria via LeMat-Bulk, functional PBE-GGA.

Unit cell a=3.131 b=3.131 c=7.326 alpha=90.00 beta=90.00 gamma=120.00
Positions (direct):
Hf: 0.000 0.000 0.000
Ti: 0.333 0.667 0.691
Cd: 0.667 0.333 0.357

Properties
symmetry: No. 156
polymorph energy (0 for the lowest one): 27 meV per atom
total magnetization: 0.000 μB per formula unit
energy: -18.7 eV/f.u.


Record 3
A relaxed HfTi3Cd crystal. Source: Alexandria via LeMat-Bulk, functional PBE-GGA.

Unit cell a=4.928 b=4.928 c=4.928 alpha=90.00 beta=90.00 gamma=90.00
Positions (direct):
Hf: 0.000 0.000 0.000
Ti: 0.000 0.500 0.500
Ti: 0.500 0.000 0.500
Ti: 0.500 0.500 0.000
Cd: 0.500 0.500 0.500

Properties
symmetry: No. 221
polymorph energy (0 for the lowest one): 1014 meV per atom
total magnetization: 3.762 μB per formula unit
energy: -28.3 eV/f.u.


Record 4
A relaxed Hf2Ti2Cd crystal. Source: Alexandria via LeMat-Bulk, functional PBE-GGA.

Unit cell a=8.807 b=8.807 c=4.788 alpha=90.00 beta=90.00 gamma=32.69
Positions (direct):
Hf: 0.111 0.668 0.750
Hf: 0.332 0.889 0.750
Hf: 0.668 0.111 0.250
Hf: 0.889 0.332 0.250
Ti: 0.108 0.473 0.250
Ti: 0.473 0.108 0.750
Ti: 0.527 0.892 0.250
Ti: 0.892 0.527 0.750
Cd: 0.291 0.709 0.250
Cd: 0.709 0.291 0.750

Properties
symmetry: No. 63
polymorph energy (0 for the lowest one): 0 meV per atom
total magnetization: 0.000 μB per formula unit
energy: -36.6 eV/f.u.